A relaxed structure of Tm5Mg4Co2. Source: the Alexandria database, functional PBE-GGA.

a b c (Å): 7.9449 18.1408 3.5137
angles (deg): 90.00 90.00 90.00
Last column: nearest neighbours and their distance in Å.
Space group Pbam (No. 55)
Inequivalent atoms, fractional coordinates:
Tm (0.0000, 0.0000, 0.0000)  8 Mg 3.22-3.29, 4 Tm 3.43-3.51
Tm (0.1287, 0.4032, 0.0000)  2 Co 2.66
Tm (0.2290, 0.7213, 0.0000)  4 Co 2.83-2.87
Mg (0.0480, 0.8478, 0.5000)  1 Co 2.77
Mg (0.1943, 0.5653, 0.5000)  1 Co 3.12, 8 Tm 3.16-3.46, 1 Mg 3.22
Co (0.0466, 0.2991, 0.5000)  6 Tm 2.66-2.87, 1 Mg 2.77

***

A relaxed structure of Tm6Mg3Co. Source: the Alexandria database, functional PBE-GGA.

a b c (Å): 9.3020 10.9653 5.1102
angles (deg): 90.00 90.00 90.00
Last column: nearest neighbours and their distance in Å.
Space group Pnnm (No. 58)
Inequivalent atoms, fractional coordinates:
Tm (0.0303, 0.2271, 0.0000)  1 Co 2.51
Tm (0.1540, 0.0685, 0.5000)  2 Co 3.02, 3 Tm 3.24-3.30, 1 Mg 3.30
Tm (0.2071, 0.4013, 0.5000)  1 Co 2.93
Mg (0.0000, 0.5000, 0.0000)  4 Tm 3.01-3.30
Mg (0.1409, 0.7115, 0.5000)  3 Tm 3.06-3.09
Co (0.0000, 0.0000, 0.0000)  2 Tm 2.51

***

A relaxed structure of Tm4MgCo. Source: the Alexandria database, functional PBE-GGA.

a b c (Å): 8.8372 12.5003 5.8993
angles (deg): 90.00 107.09 90.00
Last column: nearest neighbours and their distance in Å.
Space group C2/c (No. 15)
Inequivalent atoms, fractional coordinates:
Tm (0.1051, 0.1643, 0.0478)  2 Co 2.66-2.70
Tm (0.2245, 0.4151, 0.3815)  2 Co 2.94-2.97, 1 Mg 3.20
Mg (0.0000, 0.3792, 0.7500)  8 Tm 3.19-3.38
Co (0.0000, 0.0011, 0.2500)  8 Tm 2.66-2.97, 2 Co 2.95

Summary:
**Offset from the most stable computed form**: 0.36 eV/f.u.

***

A relaxed structure of Tm12MgCo6. Source: the Alexandria database, functional PBE-GGA.

a b c (Å): 9.5515 9.5515 9.5515
angles (deg): 90.00 90.00 90.00
Last column: nearest neighbours and their distance in Å.
Space group Im-3 (No. 204)
Inequivalent atoms, fractional coordinates:
Tm (0.0000, 0.1943, 0.3040)  3 Co 2.62-2.85
Mg (0.0000, 0.0000, 0.0000)  12 Tm 3.45
Co (0.0000, 0.3859, 0.5000)  1 Co 2.18

***

A relaxed structure of TmMg3Co8. Source: the Alexandria database, functional PBE-GGA.

a b c (Å): 4.8910 4.8910 24.0332
angles (deg): 90.00 90.00 120.00
Last column: nearest neighbours and their distance in Å.
Space group R3m (No. 160, hexagonal axes)
Inequivalent atoms, fractional coordinates:
Tm (0.0000, 0.0000, 0.0000)  12 Co 2.87-2.91, 4 Mg 3.04-3.06
Mg (0.0000, 0.0000, 0.1273)  12 Co 2.79-2.89, 3 Mg 2.97, 1 Tm 3.06
Mg (0.0000, 0.0000, 0.4987)  12 Co 2.83-2.87, 4 Mg 2.92-2.97
Mg (0.0000, 0.0000, 0.6203)  12 Co 2.83-2.99, 1 Mg 2.92, 3 Tm 3.04
Co (0.0000, 0.0000, 0.3116)  6 Co 2.46-2.48
Co (0.0000, 0.0000, 0.8124)  6 Co 2.43
Co (0.0012, 0.5006, 0.0634)  6 Co 2.43-2.48
Co (0.1680, 0.3359, 0.8942)  6 Co 2.43-2.46

***

A relaxed structure of YTmMgCo. Source: the Alexandria database, functional PBE-GGA.

a b c (Å): 3.3853 3.3853 8.0139
angles (deg): 90.00 90.00 90.00
Last column: nearest neighbours and their distance in Å.
Space group P4mm (No. 99)
Inequivalent atoms, fractional coordinates:
Y (0.0000, 0.0000, 0.0000)  4 Co 2.92, 1 Tm 3.23
Tm (0.0000, 0.0000, 0.5974)  4 Co 2.85
Mg (0.5000, 0.5000, 0.3024)  4 Tm 3.36, 4 Mg 3.39, 4 Y 3.41
Co (0.5000, 0.5000, 0.7913)  4 Tm 2.85, 4 Y 2.92

Summary:
**Offset from the most stable computed form**: 0.00 eV/f.u.

***

A relaxed structure of YTmMgCo. Source: the Alexandria database, functional PBE-GGA.

a b c (Å): 7.0615 7.0615 7.0615
angles (deg): 90.00 90.00 90.00
Last column: nearest neighbours and their distance in Å.
Space group F-43m (No. 216)
Inequivalent atoms, fractional coordinates:
Y (0.0000, 0.0000, 0.0000)  4 Co 3.06, 4 Mg 3.06
Tm (0.0000, 0.0000, 0.5000)  4 Co 3.06, 4 Mg 3.06
Mg (0.2500, 0.2500, 0.7500)  4 Tm 3.06, 4 Y 3.06
Co (0.2500, 0.2500, 0.2500)  4 Tm 3.06, 4 Y 3.06

Summary:
**Offset from the most stable computed form**: 0.53 eV/f.u.

***

A relaxed structure of TmMgZnCo. Source: the Alexandria database, functional PBE-GGA.

a b c (Å): 6.5767 6.5767 6.5767
angles (deg): 90.00 90.00 90.00
Last column: nearest neighbours and their distance in Å.
Space group F-43m (No. 216)
Inequivalent atoms, fractional coordinates:
Tm (0.0000, 0.0000, 0.0000)  4 Co 2.85, 4 Zn 2.85
Mg (0.0000, 0.0000, 0.5000)  4 Zn 2.85, 4 Co 2.85
Zn (0.2500, 0.2500, 0.7500)  4 Mg 2.85, 4 Tm 2.85
Co (0.2500, 0.2500, 0.2500)  4 Mg 2.85, 4 Tm 2.85

***

Number 1: M_tot 0.00 Bohr magnetons per cell, formation energy -0.1437 eV per atom. Number 2: M_tot 0.00 Bohr magnetons per cell, formation energy -0.0136 eV per atom. Number 3: M_tot 0.00 Bohr magnetons per cell, formation energy -0.1066 eV per atom. Number 4: M_tot 0.00 Bohr magnetons per cell, formation energy -0.2144 eV per atom. Number 5: M_tot 32.63 Bohr magnetons per cell, formation energy -0.0962 eV per atom. Number 6: M_tot 0.73 Bohr magnetons per cell, formation energy -0.1547 eV per atom. Number 7: M_tot 1.25 Bohr magnetons per cell, formation energy -0.0233 eV per atom. Number 8: M_tot 2.63 Bohr magnetons per cell, formation energy -0.0982 eV per atom.